Entry 1:
Computed, not measured: an optimized crystal structure of K2Na2In at the PBE level of DFT.

Geometry as POSCAR:
```
K2Na2In
1.0
4.4628 -6.6007 0.0000
4.4628 6.6007 0.0000
-4.0708 0.0000 7.9906
K Na In
4 4 2
Cartesian
0.9187 4.0227 5.9730
3.9360 4.0227 2.0175
0.9187 -4.0227 5.9730
3.9360 -4.0227 2.0175
-0.4393 0.0000 5.1654
2.5360 0.0000 0.8070
2.3188 0.0000 7.1836
5.2941 0.0000 2.8252
2.4274 1.4284 3.9953
2.4274 -1.4284 3.9953
```

Values from the calculation:
SG = No. 12
Energy = -1.52 eV per atom
Total moment = 0.0 μB/f.u.
Offset from the most stable computed form = 0.0000 eV per atom

Entry 2:
Computed, not measured: an optimized crystal structure of KNa3In at the PBE level of DFT.

Geometry as POSCAR:
```
KNa3In
1.0
8.6899 -5.9245 0.0000
8.6899 5.9245 0.0000
-1.6469 0.0000 7.5997
K Na In
4 12 4
Cartesian
7.4547 5.5262 5.6998
8.2782 1.6472 1.8999
7.4547 -1.6472 5.6998
8.2782 -5.5262 1.8999
2.9541 1.9551 0.5975
2.3591 1.9343 4.5699
4.1344 0.0073 6.8710
4.9578 -0.0073 3.0712
2.1306 -1.9551 4.3973
3.1826 -1.9343 0.7701
12.5503 1.9343 6.8296
13.6022 1.9551 3.2024
10.7750 0.0073 4.5286
11.5985 -0.0073 0.7287
13.3737 -1.9343 3.0298
12.7788 -1.9551 7.0022
6.0759 2.0891 5.2533
8.8335 2.0891 6.1463
6.8994 -2.0891 1.4534
9.6569 -2.0891 2.3464
```

Values from the calculation:
SG = No. 15
Energy = -1.58 eV per atom
Total moment = 0.0 μB/f.u.
Offset from the most stable computed form = 0.0000 eV per atom

Entry 3:
Computed, not measured: an optimized crystal structure of KNaIn3 at the PBE level of DFT.

Geometry as POSCAR:
```
KNaIn3
1.0
3.8554 -7.5803 0.0000
3.8554 7.5803 0.0000
0.0000 0.0000 5.5232
K Na In
2 2 6
Cartesian
3.8554 6.0718 4.1424
3.8554 -6.0718 1.3808
3.8554 0.0000 0.0000
3.8554 0.0000 2.7616
2.2627 2.4889 4.1424
3.8554 3.1056 1.3808
2.2627 -2.4889 1.3808
5.4481 2.4889 4.1424
3.8554 -3.1056 4.1424
5.4481 -2.4889 1.3808
```

Values from the calculation:
SG = No. 63
Energy = -2.19 eV per atom
Total moment = 0.0 μB/f.u.
Offset from the most stable computed form = 0.0000 eV per atom

Question: Number 2 is which compound?
Answer: KNa3In

Repeat the first record exactly.
Computed, not measured: an optimized crystal structure of K2Na2In at the PBE level of DFT.

Geometry as POSCAR:
```
K2Na2In
1.0
4.4628 -6.6007 0.0000
4.4628 6.6007 0.0000
-4.0708 0.0000 7.9906
K Na In
4 4 2
Cartesian
0.9187 4.0227 5.9730
3.9360 4.0227 2.0175
0.9187 -4.0227 5.9730
3.9360 -4.0227 2.0175
-0.4393 0.0000 5.1654
2.5360 0.0000 0.8070
2.3188 0.0000 7.1836
5.2941 0.0000 2.8252
2.4274 1.4284 3.9953
2.4274 -1.4284 3.9953
```

Values from the calculation:
SG = No. 12
Energy = -1.52 eV per atom
Total moment = 0.0 μB/f.u.
Offset from the most stable computed form = 0.0000 eV per atom